[1]
CsTmSnS3: relaxed, PBE.

total DFT energy (no corrections)	-58.90	eV per cell
magnetic moment	0.0	μB/cell
excess energy over the best structure of this formula in the dataset	0.101	eV per atom
symmetry	No. 63

a b c (Å): 9.072 9.072 11.324
angles (deg): 90.00 90.00 154.87
Sites, in units of the cell vectors:
Cs (0.191, 0.809, 0.750)
Cs (0.809, 0.191, 0.250)
Tm (0.500, 0.500, 0.000)
Tm (0.500, 0.500, 0.500)
Sn (0.108, 0.892, 0.250)
Sn (0.892, 0.108, 0.750)
S (0.102, 0.898, 0.005)
S (0.102, 0.898, 0.495)
S (0.492, 0.508, 0.750)
S (0.508, 0.492, 0.250)
S (0.898, 0.102, 0.505)
S (0.898, 0.102, 0.995)



[2]
CsTmSnS3: relaxed, PBE.

total DFT energy (no corrections)	-120.23	eV per cell
magnetic moment	0.0	μB/cell
excess energy over the best structure of this formula in the dataset	0.000	eV per atom
symmetry	No. 62

a b c (Å): 16.105 4.030 11.810
angles (deg): 90.00 90.00 90.00
Sites, in units of the cell vectors:
Cs (0.234, 0.250, 0.087)
Cs (0.266, 0.750, 0.587)
Cs (0.734, 0.250, 0.413)
Cs (0.766, 0.750, 0.913)
Tm (0.006, 0.750, 0.640)
Tm (0.494, 0.250, 0.140)
Tm (0.506, 0.750, 0.860)
Tm (0.994, 0.250, 0.360)
Sn (0.040, 0.250, 0.903)
Sn (0.460, 0.750, 0.403)
Sn (0.540, 0.250, 0.597)
Sn (0.960, 0.750, 0.097)
S (0.076, 0.750, 0.241)
S (0.092, 0.250, 0.541)
S (0.123, 0.750, 0.813)
S (0.377, 0.250, 0.313)
S (0.408, 0.750, 0.041)
S (0.424, 0.250, 0.741)
S (0.576, 0.750, 0.259)
S (0.592, 0.250, 0.959)
S (0.623, 0.750, 0.687)
S (0.877, 0.250, 0.187)
S (0.908, 0.750, 0.459)
S (0.924, 0.250, 0.759)



[3]
Cs2Zn3Sn2S8: relaxed, PBE.

total DFT energy (no corrections)	-57.48	eV per cell
symmetry	No. 2

a b c (Å): 6.739 7.954 8.974
angles (deg): 106.21 94.50 108.14
Sites, in units of the cell vectors:
Cs (0.114, 0.445, 0.245)
Cs (0.886, 0.555, 0.755)
Zn (0.333, 0.052, 0.408)
Zn (0.500, 0.000, 0.000)
Zn (0.667, 0.948, 0.592)
Sn (0.244, 0.154, 0.760)
Sn (0.756, 0.846, 0.240)
S (0.103, 0.887, 0.172)
S (0.299, 0.870, 0.606)
S (0.324, 0.331, 0.582)
S (0.492, 0.277, 0.010)
S (0.508, 0.723, 0.990)
S (0.676, 0.669, 0.418)
S (0.701, 0.130, 0.394)
S (0.897, 0.113, 0.828)



[4]
CsZrSnS3: relaxed, PBE.

total DFT energy (no corrections)	-63.61	eV per cell
magnetic moment	0.1	μB/cell
symmetry	No. 63

a b c (Å): 9.032 9.032 11.147
angles (deg): 90.00 90.00 156.50
Sites, in units of the cell vectors:
Cs (0.186, 0.814, 0.750)
Cs (0.814, 0.186, 0.250)
Zr (0.500, 0.500, 0.000)
Zr (0.500, 0.500, 0.500)
Sn (0.114, 0.886, 0.250)
Sn (0.886, 0.114, 0.750)
S (0.101, 0.899, 0.006)
S (0.101, 0.899, 0.494)
S (0.498, 0.502, 0.250)
S (0.502, 0.498, 0.750)
S (0.899, 0.101, 0.506)
S (0.899, 0.101, 0.994)



[5]
CsSrTbS3: relaxed, PBE.

total DFT energy (no corrections)	-60.19	eV per cell
magnetic moment	0.0	μB/cell
symmetry	No. 63

a b c (Å): 8.307 8.307 12.171
angles (deg): 90.00 90.00 148.07
Sites, in units of the cell vectors:
Cs (0.247, 0.753, 0.750)
Cs (0.753, 0.247, 0.250)
Sr (0.000, 0.000, 0.000)
Sr (0.000, 0.000, 0.500)
Tb (0.480, 0.520, 0.250)
Tb (0.520, 0.480, 0.750)
S (0.065, 0.935, 0.250)
S (0.390, 0.610, 0.077)
S (0.390, 0.610, 0.423)
S (0.610, 0.390, 0.577)
S (0.610, 0.390, 0.923)
S (0.935, 0.065, 0.750)



[6]
Cs3TaS4: relaxed, PBE.

total DFT energy (no corrections)	-166.03	eV per cell
magnetic moment	0.0	μB/cell
symmetry	No. 62

a b c (Å): 10.023 11.722 10.107
angles (deg): 90.00 90.00 90.00
Sites, in units of the cell vectors:
Cs (0.047, 0.041, 0.210)
Cs (0.047, 0.459, 0.210)
Cs (0.148, 0.750, 0.417)
Cs (0.352, 0.250, 0.917)
Cs (0.453, 0.541, 0.710)
Cs (0.453, 0.959, 0.710)
Cs (0.547, 0.041, 0.290)
Cs (0.547, 0.459, 0.290)
Cs (0.648, 0.750, 0.083)
Cs (0.852, 0.250, 0.583)
Cs (0.953, 0.541, 0.790)
Cs (0.953, 0.959, 0.790)
Ta (0.222, 0.750, 0.984)
Ta (0.278, 0.250, 0.484)
Ta (0.722, 0.750, 0.516)
Ta (0.778, 0.250, 0.016)
S (0.011, 0.750, 0.071)
S (0.167, 0.089, 0.548)
S (0.167, 0.411, 0.548)
S (0.207, 0.750, 0.758)
S (0.293, 0.250, 0.258)
S (0.333, 0.589, 0.048)
S (0.333, 0.911, 0.048)
S (0.489, 0.250, 0.571)
S (0.511, 0.750, 0.429)
S (0.667, 0.089, 0.952)
S (0.667, 0.411, 0.952)
S (0.707, 0.750, 0.742)
S (0.793, 0.250, 0.242)
S (0.833, 0.589, 0.452)
S (0.833, 0.911, 0.452)
S (0.989, 0.250, 0.929)



[7]
CsTa2S5: relaxed, PBE.

total DFT energy (no corrections)	-107.67	eV per cell
magnetic moment	0.2	μB/cell
symmetry	No. 2

a b c (Å): 7.012 8.477 9.040
angles (deg): 117.51 93.31 98.56
Sites, in units of the cell vectors:
Cs (0.154, 0.394, 0.219)
Cs (0.846, 0.606, 0.781)
Ta (0.240, 0.004, 0.480)
Ta (0.487, 0.955, 0.160)
Ta (0.513, 0.045, 0.840)
Ta (0.760, 0.996, 0.520)
S (0.035, 0.202, 0.488)
S (0.187, 0.795, 0.189)
S (0.290, 0.196, 0.811)
S (0.368, 0.783, 0.864)
S (0.469, 0.811, 0.535)
S (0.531, 0.189, 0.465)
S (0.632, 0.217, 0.136)
S (0.710, 0.804, 0.189)
S (0.813, 0.205, 0.811)
S (0.965, 0.798, 0.512)



[8]
CsTaWS5: relaxed, PBE.

total DFT energy (no corrections)	-107.16	eV per cell
magnetic moment	0.0	μB/cell
symmetry	No. 2

a b c (Å): 7.236 8.302 8.758
angles (deg): 65.04 86.04 71.04
Sites, in units of the cell vectors:
Cs (0.104, 0.131, 0.194)
Cs (0.896, 0.869, 0.806)
Ta (0.258, 0.473, 0.486)
Ta (0.742, 0.527, 0.514)
W (0.493, 0.520, 0.151)
W (0.507, 0.480, 0.849)
S (0.086, 0.273, 0.515)
S (0.183, 0.684, 0.192)
S (0.258, 0.387, 0.798)
S (0.417, 0.701, 0.533)
S (0.445, 0.757, 0.870)
S (0.555, 0.243, 0.130)
S (0.583, 0.299, 0.467)
S (0.742, 0.613, 0.202)
S (0.817, 0.316, 0.808)
S (0.914, 0.727, 0.485)



[9]
Cs2TaZnS6: relaxed, PBE.

total DFT energy (no corrections)	-45.15	eV per cell
magnetic moment	0.0	μB/cell
symmetry	No. 225

a b c (Å): 7.044 7.044 7.044
angles (deg): 60.00 60.00 60.00
Sites, in units of the cell vectors:
Cs (0.250, 0.250, 0.250)
Cs (0.750, 0.750, 0.750)
Ta (0.000, 0.000, 0.000)
Zn (0.500, 0.500, 0.500)
S (0.245, 0.245, 0.755)
S (0.245, 0.755, 0.245)
S (0.245, 0.755, 0.755)
S (0.755, 0.245, 0.245)
S (0.755, 0.245, 0.755)
S (0.755, 0.755, 0.245)



[10]
CsTbTeS: relaxed, PBE.

total DFT energy (no corrections)	-38.17	eV per cell
magnetic moment	0.0	μB/cell
symmetry	No. 186

a b c (Å): 4.316 4.316 17.056
angles (deg): 90.00 90.00 120.00
Sites, in units of the cell vectors:
Cs (0.333, 0.667, 0.000)
Cs (0.667, 0.333, 0.500)
Tb (0.000, 0.000, 0.229)
Tb (0.000, 0.000, 0.729)
Te (0.333, 0.667, 0.337)
Te (0.667, 0.333, 0.837)
S (0.333, 0.667, 0.651)
S (0.667, 0.333, 0.151)



[11]
Cs2TcTeS2: relaxed, PBE.

total DFT energy (no corrections)	-55.89	eV per cell
magnetic moment	2.0	μB/cell
symmetry	No. 12

a b c (Å): 8.166 8.166 10.460
angles (deg): 121.17 121.17 54.56
Sites, in units of the cell vectors:
Cs (0.073, 0.073, 0.358)
Cs (0.277, 0.277, 0.166)
Cs (0.723, 0.723, 0.834)
Cs (0.927, 0.927, 0.642)
Tc (0.396, 0.396, 0.853)
Tc (0.604, 0.604, 0.147)
Te (0.398, 0.398, 0.607)
Te (0.602, 0.602, 0.393)
S (0.219, 0.219, 0.780)
S (0.261, 0.739, 0.000)
S (0.739, 0.261, 0.000)
S (0.781, 0.781, 0.220)



[12]
CsTmTeS: relaxed, PBE.

total DFT energy (no corrections)	-37.64	eV per cell
magnetic moment	0.0	μB/cell
symmetry	No. 186

a b c (Å): 4.251 4.251 17.009
angles (deg): 90.00 90.00 120.00
Sites, in units of the cell vectors:
Cs (0.333, 0.667, 0.000)
Cs (0.667, 0.333, 0.500)
Tm (0.000, 0.000, 0.229)
Tm (0.000, 0.000, 0.729)
Te (0.333, 0.667, 0.335)
Te (0.667, 0.333, 0.835)
S (0.333, 0.667, 0.651)
S (0.667, 0.333, 0.151)